(1)
DFT (PBE) results for a geometry-optimized LiCdSeBr2 structure.

Computed properties:
Energy above the most stable polymorph in this dataset   169 meV/atom
DOS(E_F)   0.559 states/eV per atom
Energy relative to the elements, uncorrected   -1.25 eV/f.u.
Space-group type   P4/mmm (123)

a = 4.678 Å, b = 4.678 Å, c = 5.993 Å
α = 90.00°, β = 90.00°, γ = 90.00°
Fractional positions:
1 Li 0.000 0.000 0.000
2 Cd 0.500 0.500 0.500
3 Se 0.000 0.000 0.500
4 Br 0.000 0.500 0.000
5 Br 0.500 0.000 0.000

---

(2)
DFT (PBE) results for a geometry-optimized Tb4Sm4Er5 structure.

Computed properties:
DOS(E_F)   1.363 states/eV per atom
Formation energy   0.02 eV per atom
Space-group type   I4/m (87)

a = 9.421 Å, b = 9.421 Å, c = 9.421 Å
α = 94.08°, β = 94.08°, γ = 149.06°
Fractional positions:
1 Tb 0.153 0.229 0.383
2 Tb 0.229 0.847 0.076
3 Tb 0.771 0.153 0.924
4 Tb 0.847 0.771 0.617
5 Sm 0.078 0.617 0.695
6 Sm 0.383 0.078 0.462
7 Sm 0.617 0.922 0.538
8 Sm 0.922 0.383 0.305
9 Er 0.000 0.000 0.000
10 Er 0.310 0.461 0.771
11 Er 0.461 0.690 0.151
12 Er 0.539 0.310 0.849
13 Er 0.690 0.539 0.229

---

(3)
DFT (PBE) results for a geometry-optimized Sc2AgTe structure.

Computed properties:
DOS(E_F)   1.639 states/eV per atom
Energy relative to the elements, uncorrected   0.05 eV/f.u.
Space-group type   F-43m (216)

a = 5.059 Å, b = 5.059 Å, c = 5.059 Å
α = 60.00°, β = 60.00°, γ = 60.00°
Fractional positions:
1 Sc 0.000 0.000 0.000
2 Sc 0.250 0.250 0.250
3 Ag 0.500 0.500 0.500
4 Te 0.750 0.750 0.750

---

(4)
DFT (PBE) results for a geometry-optimized GaBIr3 structure.

Computed properties:
Energy above the most stable polymorph in this dataset   27 meV/atom
DOS(E_F)   0.564 states/eV per atom
Formation energy   -0.04 eV per atom
Space-group type   Pm-3m (221)

a = 4.111 Å, b = 4.111 Å, c = 4.111 Å
α = 90.00°, β = 90.00°, γ = 90.00°
Fractional positions:
1 Ga 0.000 0.000 0.000
2 B 0.500 0.500 0.500
3 Ir 0.000 0.500 0.500
4 Ir 0.500 0.000 0.500
5 Ir 0.500 0.500 0.000